No. 1
## BaAl2Te (PBEsol)

Data for an optimized crystal structure of BaAl2Te.

The final energy comes out at -15.16 eV per cell. The value obtained for the density of states at the Fermi level is 0.626 states/eV/atom. The value obtained for the total moment is 0.00 μB per atom. The formation energy from raw total energies is -0.3265 eV/atom.

Cell: 3.890 3.890 7.134 Å, 90.00 90.00 90.00°
Space group P4mm (No. 99)
Symmetry-distinct sites (fractional):
Ba  0.000  0.000  0.000 (multiplicity 1)
Al  0.000  0.000  0.534 (multiplicity 1)
Al  0.500  0.500  0.691 (multiplicity 1)
Te  0.500  0.500  0.308 (multiplicity 1)



No. 2
## Zr2TcMo (PBEsol)

Data for an optimized crystal structure of Zr2TcMo.

The final energy comes out at -83.86 eV per cell. The value obtained for the density of states at the Fermi level is 0.708 states/eV/atom. As for the calculated formation energy: -0.178 eV/atom. The value obtained for the total moment is 0.00 μB per atom.

Cell: 3.242 4.546 9.547 Å, 90.00 90.00 90.00°
Space group Imm2 (No. 44)
Symmetry-distinct sites (fractional):
Zr  0.000  0.000  0.000 (multiplicity 2)
Zr  0.000  0.500  0.232 (multiplicity 2)
Tc  0.000  0.500  0.750 (multiplicity 2)
Mo  0.000  0.000  0.474 (multiplicity 2)



No. 3
## V2Se2O11 (PBEsol)

Data for an optimized crystal structure of V2Se2O11.

The final energy comes out at -416.71 eV per cell. The value obtained for the density of states at the Fermi level is 0.000 states/eV/atom. The value obtained for the total moment is 0.00 μB per atom. The formation energy from raw total energies is -1.2977 eV/atom.

Cell: 15.443 5.557 9.835 Å, 90.00 111.32 90.00°
Space group C2/c (No. 15)
Symmetry-distinct sites (fractional):
V  0.121  0.092  0.293 (multiplicity 8)
Se  0.147  0.363  0.601 (multiplicity 8)
O  0.000  0.115  0.250 (multiplicity 4)
O  0.091  0.406  0.129 (multiplicity 8)
O  0.095  0.104  0.618 (multiplicity 8)
O  0.147  0.368  0.430 (multiplicity 8)
O  0.151  0.113  0.912 (multiplicity 8)
O  0.243  0.156  0.278 (multiplicity 8)



No. 4
## Sr2LaBi (PBEsol)

Data for an optimized crystal structure of Sr2LaBi.

The final energy comes out at -55.43 eV per cell. The value obtained for the density of states at the Fermi level is 1.390 states/eV/atom. As for the calculated formation energy: -0.136 eV/atom. The value obtained for the total moment is 0.00 μB per atom.

Cell: 9.893 9.893 6.825 Å, 90.00 90.00 90.00°
Space group I-42d (No. 122)
Symmetry-distinct sites (fractional):
Sr  0.195  0.250  0.125 (multiplicity 8)
La  0.000  0.000  0.500 (multiplicity 4)
Bi  0.000  0.000  0.000 (multiplicity 4)



No. 5
## Si3RhF (PBEsol)

Data for an optimized crystal structure of Si3RhF.

The final energy comes out at -25.71 eV per cell. The value obtained for the density of states at the Fermi level is 0.493 states/eV/atom. The value obtained for the total moment is 0.00 μB per atom. The formation energy from raw total energies is 0.3194 eV/atom.

Cell: 4.149 4.149 4.149 Å, 90.00 90.00 90.00°
Space group Pm-3m (No. 221)
Symmetry-distinct sites (fractional):
Si  0.000  0.000  0.500 (multiplicity 3)
Rh  0.500  0.500  0.500 (multiplicity 1)
F  0.000  0.000  0.000 (multiplicity 1)



No. 6
## Na3InI (PBEsol)

Data for an optimized crystal structure of Na3InI.

The final energy comes out at -9.10 eV per cell. The value obtained for the density of states at the Fermi level is 0.850 states/eV/atom. The value obtained for the total moment is 0.00 μB per atom. The formation energy from raw total energies is -0.0295 eV/atom.

Cell: 5.871 5.871 5.871 Å, 90.00 90.00 90.00°
Space group Pm-3m (No. 221)
Symmetry-distinct sites (fractional):
Na  0.000  0.000  0.500 (multiplicity 3)
In  0.000  0.000  0.000 (multiplicity 1)
I  0.500  0.500  0.500 (multiplicity 1)



No. 7
## MnFe4 (PBEsol)

Data for an optimized crystal structure of MnFe4.

The final energy comes out at -181.04 eV per cell. The value obtained for the density of states at the Fermi level is 1.081 states/eV/atom. As for the calculated formation energy: 0.071 eV/atom. The value obtained for the total moment is 1.85 μB per atom. The distance to the lowest polymorph of the same formula is 5 meV per atom.

Cell: 2.773 3.907 19.751 Å, 90.00 90.00 90.00°
Space group Fmmm (No. 69)
Symmetry-distinct sites (fractional):
Mn  0.000  0.000  0.000 (multiplicity 4)
Fe  0.000  0.000  0.200 (multiplicity 8)
Fe  0.000  0.000  0.401 (multiplicity 8)



No. 8
## MnSb2TeW (PBEsol)

Data for an optimized crystal structure of MnSb2TeW.

The final energy comes out at -29.66 eV per cell. The value obtained for the density of states at the Fermi level is 0.866 states/eV/atom. The value obtained for the total moment is 0.99 μB per atom. The formation energy from raw total energies is 1.3107 eV/atom.

Cell: 4.797 4.797 5.118 Å, 90.00 90.00 90.00°
Space group P4/mmm (No. 123)
Symmetry-distinct sites (fractional):
Mn  0.000  0.000  0.000 (multiplicity 1)
Sb  0.000  0.500  0.000 (multiplicity 2)
Te  0.000  0.000  0.500 (multiplicity 1)
W  0.500  0.500  0.500 (multiplicity 1)